Computed, not measured: crystalline Pr4Nd4Th at its relaxed geometry at the PBE level of DFT.

Calculated values
- energy of formation (meV per atom) = 33
- DOS(E_F) (states/eV/atom) = 1.6113
- total DFT energy (no corrections) (eV/atom) = -5.035

Cell lengths 8.2368, 8.2368, 8.2368 Å; angles 95.78, 95.78, 142.99 degrees
Closest atoms and distances in Å follow each position.
Positions (direct):
1 Pr 0.1621 0.1621 0.3242  4 Pr 3.58-3.79, 2 Th 3.64, 6 Nd 3.67-3.73
2 Pr 0.1621 0.8379 0.0000  4 Pr 3.58-3.79, 2 Th 3.64, 6 Nd 3.67-3.73
3 Pr 0.8379 0.1621 0.0000  4 Pr 3.58-3.79, 2 Th 3.64, 6 Nd 3.67-3.73
4 Pr 0.8379 0.8379 0.6758  4 Pr 3.58-3.79, 2 Th 3.64, 6 Nd 3.67-3.73
5 Nd 0.1700 0.5000 0.6700  1 Th 3.65, 6 Pr 3.67-3.73, 5 Nd 3.73-3.75
6 Nd 0.5000 0.1700 0.6700  1 Th 3.65, 6 Pr 3.67-3.73, 5 Nd 3.73-3.75
7 Nd 0.5000 0.8300 0.3300  1 Th 3.65, 6 Pr 3.67-3.73, 5 Nd 3.73-3.75
8 Nd 0.8300 0.5000 0.3300  1 Th 3.65, 6 Pr 3.67-3.73, 5 Nd 3.73-3.75
9 Th 0.5000 0.5000 0.0000  8 Pr 3.64, 4 Nd 3.65